[1]
RbBiPt: relaxed, PBE.

a = 7.2104 Å, b = 7.2104 Å, c = 7.2104 Å
α = 90.00°, β = 90.00°, γ = 90.00°
With the nearest neighbours (Å) after each atom.
Space group F-43m (No. 216)
Asymmetric unit:
Rb 0.0000 0.0000 0.0000 (multiplicity 4)  4 Pt 3.12
Bi 0.0000 0.0000 0.5000 (multiplicity 4)  4 Pt 3.12
Pt 0.2500 0.2500 0.7500 (multiplicity 4)  4 Bi 3.12, 4 Rb 3.12

Calculated values
Size of the total moment ... 0.00 μB per formula unit
Crystal system ... cubic
V ... 374.87 Å³ per cell
Energy above the most stable polymorph in this dataset ... 1.60 eV per formula unit

[2]
RbBiPt: relaxed, PBE.

a = 7.4112 Å, b = 7.4112 Å, c = 7.4112 Å
α = 90.00°, β = 90.00°, γ = 90.00°
With the nearest neighbours (Å) after each atom.
Space group F-43m (No. 216)
Asymmetric unit:
Rb 0.0000 0.0000 0.0000 (multiplicity 4)  4 Pt 3.21, 4 Bi 3.21
Bi 0.2500 0.2500 0.7500 (multiplicity 4)  4 Rb 3.21
Pt 0.2500 0.2500 0.2500 (multiplicity 4)  4 Rb 3.21

Calculated values
Size of the total moment ... 0.00 μB per formula unit
Crystal system ... cubic
V ... 407.06 Å³ per cell
Energy above the most stable polymorph in this dataset ... 4.07 eV per formula unit

[3]
Re2BiPt: relaxed, PBE.

a = 6.5752 Å, b = 6.5752 Å, c = 6.5752 Å
α = 90.00°, β = 90.00°, γ = 90.00°
With the nearest neighbours (Å) after each atom.
Space group F-43m (No. 216)
Asymmetric unit:
Re 0.0000 0.0000 0.0000 (multiplicity 4)  4 Pt 2.85, 4 Re 2.85
Re 0.2500 0.2500 0.2500 (multiplicity 4)  4 Re 2.85, 4 Bi 2.85
Bi 0.0000 0.0000 0.5000 (multiplicity 4)  4 Re 2.85, 4 Pt 2.85
Pt 0.2500 0.2500 0.7500 (multiplicity 4)  4 Bi 2.85, 4 Re 2.85

Calculated values
Size of the total moment ... 0.03 μB per formula unit
Crystal system ... cubic
V ... 284.27 Å³ per cell
VASP energy ... -7.82 eV per atom

[4]
Bi2PtS4: relaxed, PBE.

a = 12.4788 Å, b = 4.0086 Å, c = 14.3686 Å
α = 90.00°, β = 115.44°, γ = 90.00°
With the nearest neighbours (Å) after each atom.
Space group C2/m (No. 12)
Asymmetric unit:
Bi 0.1641 0.0000 0.3578 (multiplicity 4)  5 S 2.70-2.96
Bi 0.2032 0.5000 0.8670 (multiplicity 4)  6 S 2.73-2.94
Pt 0.0000 0.5000 0.0000 (multiplicity 2)  6 S 2.38-2.59
Pt 0.0000 0.5000 0.5000 (multiplicity 2)  6 S 2.35-2.61
S 0.0001 0.5000 0.3365 (multiplicity 4)  1 Pt 2.35
S 0.0966 0.0000 0.9509 (multiplicity 4)  2 Pt 2.59, 1 Bi 2.73
S 0.1476 0.0000 0.5393 (multiplicity 4)  2 Pt 2.61, 1 Bi 2.70
S 0.1614 0.5000 0.1668 (multiplicity 4)  1 Pt 2.38

Calculated values
Size of the total moment ... 0.02 μB per formula unit
Crystal system ... monoclinic
V ... 649.04 Å³ per cell
VASP energy ... -4.61 eV per atom

[5]
Bi4PtS7: relaxed, PBE.

a = 15.6352 Å, b = 4.6127 Å, c = 11.0815 Å
α = 90.00°, β = 132.71°, γ = 90.00°
With the nearest neighbours (Å) after each atom.
Space group C2/m (No. 12)
Asymmetric unit:
Bi 0.0774 0.0000 0.2701 (multiplicity 4)  7 S 2.86-3.05
Bi 0.2308 0.0000 0.8201 (multiplicity 4)  4 S 2.64-2.87
Pt 0.0000 0.5000 0.5000 (multiplicity 2)  4 S 2.31-2.37
S 0.0000 0.0000 0.5000 (multiplicity 2)  2 Pt 2.31
S 0.0665 0.5000 0.7661 (multiplicity 4)  1 Pt 2.37
S 0.1329 0.0000 0.0700 (multiplicity 4)  4 Bi 2.80-2.88
S 0.2189 0.5000 0.3638 (multiplicity 4)  3 Bi 2.64-2.86

Calculated values
Size of the total moment ... 0.04 μB per formula unit
Crystal system ... monoclinic
V ... 587.24 Å³ per cell
VASP energy ... -4.45 eV per atom

[6]
BiSbPt: relaxed, PBE.

a = 6.7493 Å, b = 6.7493 Å, c = 6.7493 Å
α = 90.00°, β = 90.00°, γ = 90.00°
With the nearest neighbours (Å) after each atom.
Space group F-43m (No. 216)
Asymmetric unit:
Bi 0.0000 0.0000 0.0000 (multiplicity 4)  4 Pt 2.92
Sb 0.0000 0.0000 0.5000 (multiplicity 4)  4 Pt 2.92
Pt 0.2500 0.2500 0.2500 (multiplicity 4)  4 Bi 2.92, 4 Sb 2.92

Calculated values
Size of the total moment ... 0.00 μB per formula unit
Crystal system ... cubic
V ... 307.45 Å³ per cell
Energy above the most stable polymorph in this dataset ... 0.00 eV per formula unit

[7]
Sc2BiSbPt2: relaxed, PBE.

a = 11.1800 Å, b = 4.5616 Å, c = 11.1894 Å
α = 90.00°, β = 109.48°, γ = 90.00°
With the nearest neighbours (Å) after each atom.
Space group Pm (No. 6)
Asymmetric unit:
Sc 0.0000 0.0000 0.0000 (multiplicity 1)  4 Pt 2.78-2.84
Sc 0.1217 0.5000 0.3747 (multiplicity 1)  4 Pt 2.75-2.81
Sc 0.2458 0.0000 0.7472 (multiplicity 1)  4 Pt 2.81-2.82
Sc 0.3753 0.5000 0.1292 (multiplicity 1)  4 Pt 2.75-2.84
Sc 0.4996 0.0000 0.5004 (multiplicity 1)  4 Pt 2.72-2.86
Sc 0.6247 0.5000 0.8721 (multiplicity 1)  4 Pt 2.78-2.82
Sc 0.7486 0.0000 0.2529 (multiplicity 1)  4 Pt 2.80-2.91
Sc 0.8721 0.5000 0.6236 (multiplicity 1)  4 Pt 2.73-2.76
Bi 0.1225 0.5000 0.8752 (multiplicity 1)  4 Pt 2.80-2.84
Bi 0.3734 0.5000 0.6234 (multiplicity 1)  4 Pt 2.81-2.85
Bi 0.4995 0.0000 0.0018 (multiplicity 1)  4 Pt 2.81-2.86
Bi 0.8739 0.5000 0.1258 (multiplicity 1)  4 Pt 2.82-2.85
Sb 0.2493 0.0000 0.2508 (multiplicity 1)  4 Pt 2.75-2.78
Sb 0.6236 0.5000 0.3757 (multiplicity 1)  4 Pt 2.76-2.77
Sb 0.7483 0.0000 0.7483 (multiplicity 1)  4 Pt 2.74-2.77
Sb 0.9971 0.0000 0.4991 (multiplicity 1)  4 Pt 2.76-2.77
Pt 0.1299 0.5000 0.1312 (multiplicity 1)  4 Sc 2.75-2.84, 2 Sb 2.75, 2 Bi 2.84
Pt 0.2418 0.0000 0.4938 (multiplicity 1)  2 Sb 2.75-2.76, 4 Sc 2.75-2.86, 2 Bi 2.84
Pt 0.3730 0.5000 0.8745 (multiplicity 1)  4 Bi 2.80-2.81, 4 Sc 2.81-2.84
Pt 0.4996 0.0000 0.2572 (multiplicity 1)  4 Sc 2.72-2.80, 3 Sb 2.77-2.78, 1 Bi 2.86
Pt 0.6284 0.5000 0.6241 (multiplicity 1)  4 Sc 2.73-2.80, 3 Sb 2.76-2.77, 1 Bi 2.85
Pt 0.7495 0.0000 0.9934 (multiplicity 1)  1 Sb 2.74, 4 Sc 2.78-2.91, 3 Bi 2.82-2.83
Pt 0.8721 0.5000 0.3797 (multiplicity 1)  4 Sc 2.73-2.81, 3 Sb 2.76-2.77, 1 Bi 2.85
Pt 0.9926 0.0000 0.7439 (multiplicity 1)  2 Sb 2.75-2.76, 4 Sc 2.76-2.84, 2 Bi 2.84

Calculated values
Size of the total moment ... 0.00 μB per formula unit
Crystal system ... monoclinic
V ... 537.99 Å³ per cell
VASP energy ... -6.55 eV per atom

[8]
Y2BiSbPt2: relaxed, PBE.

a = 11.5662 Å, b = 4.7226 Å, c = 11.5706 Å
α = 90.00°, β = 109.43°, γ = 90.00°
With the nearest neighbours (Å) after each atom.
Space group Pm (No. 6)
Asymmetric unit:
Y 0.0000 0.0000 0.0000 (multiplicity 1)  4 Pt 2.88-2.93
Y 0.1210 0.5000 0.3746 (multiplicity 1)  4 Pt 2.86-2.90
Y 0.2454 0.0000 0.7471 (multiplicity 1)  4 Pt 2.91-2.92
Y 0.3751 0.5000 0.1286 (multiplicity 1)  4 Pt 2.86-2.93
Y 0.4989 0.0000 0.5008 (multiplicity 1)  4 Pt 2.83-2.94
Y 0.6240 0.5000 0.8720 (multiplicity 1)  4 Pt 2.88-2.92
Y 0.7480 0.0000 0.2518 (multiplicity 1)  4 Pt 2.90-2.98
Y 0.8722 0.5000 0.6238 (multiplicity 1)  4 Pt 2.83-2.86
Bi 0.1228 0.5000 0.8750 (multiplicity 1)  4 Pt 2.89-2.93
Bi 0.3727 0.5000 0.6236 (multiplicity 1)  4 Pt 2.90-2.95
Bi 0.4985 0.0000 0.0004 (multiplicity 1)  4 Pt 2.90-2.96
Bi 0.8731 0.5000 0.1249 (multiplicity 1)  4 Pt 2.91-2.94
Sb 0.2485 0.0000 0.2507 (multiplicity 1)  4 Pt 2.84-2.88
Sb 0.6233 0.5000 0.3756 (multiplicity 1)  4 Pt 2.86-2.87
Sb 0.7485 0.0000 0.7491 (multiplicity 1)  4 Pt 2.84-2.88
Sb 0.9970 0.0000 0.4992 (multiplicity 1)  4 Pt 2.86-2.88
Pt 0.1288 0.5000 0.1303 (multiplicity 1)  2 Sb 2.85, 4 Y 2.86-2.93, 2 Bi 2.93-2.94
Pt 0.2425 0.0000 0.4941 (multiplicity 1)  2 Sb 2.84-2.86, 4 Y 2.86-2.94, 2 Bi 2.93
Pt 0.3727 0.5000 0.8746 (multiplicity 1)  4 Bi 2.89-2.90, 4 Y 2.91-2.93
Pt 0.4991 0.0000 0.2562 (multiplicity 1)  4 Y 2.83-2.90, 3 Sb 2.87-2.88, 1 Bi 2.96
Pt 0.6274 0.5000 0.6238 (multiplicity 1)  4 Y 2.83-2.90, 3 Sb 2.86-2.88, 1 Bi 2.95
Pt 0.7489 0.0000 0.9943 (multiplicity 1)  1 Sb 2.84, 4 Y 2.88-2.98, 3 Bi 2.91-2.92
Pt 0.8717 0.5000 0.3788 (multiplicity 1)  4 Y 2.83-2.90, 3 Sb 2.86-2.88, 1 Bi 2.94
Pt 0.9927 0.0000 0.7446 (multiplicity 1)  2 Sb 2.84-2.86, 4 Y 2.86-2.93, 2 Bi 2.93

Calculated values
Size of the total moment ... 0.00 μB per formula unit
Crystal system ... monoclinic
V ... 596.02 Å³ per cell
VASP energy ... -6.67 eV per atom

[9]
ScBiPt: relaxed, PBE.

a = 4.5531 Å, b = 4.5531 Å, c = 7.5239 Å
α = 90.00°, β = 90.00°, γ = 120.00°
With the nearest neighbours (Å) after each atom.
Space group P6_3mc (No. 186)
Asymmetric unit:
Sc 0.0000 0.0000 0.0000 (multiplicity 2)  3 Pt 2.80
Bi 0.3333 0.6667 0.2413 (multiplicity 2)  4 Pt 2.79-2.80
Pt 0.3333 0.6667 0.8706 (multiplicity 2)  4 Bi 2.79-2.80, 3 Sc 2.80

Calculated values
Size of the total moment ... 0.00 μB per formula unit
Crystal system ... hexagonal
V ... 135.08 Å³ per cell
VASP energy ... -6.25 eV per atom

[10]
Sc2BiPt2: relaxed, PBE.

a = 7.8034 Å, b = 7.8034 Å, c = 3.3173 Å
α = 90.00°, β = 90.00°, γ = 90.00°
With the nearest neighbours (Å) after each atom.
Space group P4/mbm (No. 127)
Asymmetric unit:
Sc 0.1601 0.3399 0.0000 (multiplicity 4)  6 Pt 2.81-2.85
Bi 0.0000 0.0000 0.5000 (multiplicity 2)  4 Pt 3.06, 2 Bi 3.32, 8 Sc 3.37
Pt 0.1296 0.6296 0.5000 (multiplicity 4)  6 Sc 2.81-2.85, 1 Pt 2.86, 2 Bi 3.06

Calculated values
Size of the total moment ... 0.01 μB per formula unit
Crystal system ... tetragonal
V ... 202.00 Å³ per cell
VASP energy ... -6.77 eV per atom

[11]
ScBi2Pt: relaxed, PBE.

a = 7.2399 Å, b = 7.2399 Å, c = 7.2399 Å
α = 90.00°, β = 90.00°, γ = 90.00°
With the nearest neighbours (Å) after each atom.
Space group F-43m (No. 216)
Asymmetric unit:
Sc 0.0000 0.0000 0.0000 (multiplicity 4)  4 Pt 3.13, 4 Bi 3.13
Bi 0.0000 0.0000 0.5000 (multiplicity 4)  4 Bi 3.13, 4 Pt 3.13
Bi 0.2500 0.2500 0.2500 (multiplicity 4)  4 Bi 3.13, 4 Sc 3.13
Pt 0.2500 0.2500 0.7500 (multiplicity 4)  4 Bi 3.13, 4 Sc 3.13

Calculated values
Size of the total moment ... 0.00 μB per formula unit
Crystal system ... cubic
V ... 379.49 Å³ per cell
VASP energy ... -5.30 eV per atom